Material: BeP4Cl
Method: DFT, GGA-PBE
State: relaxed

```
BeP4Cl
1.0
0.0000 3.9680 3.9680
3.9680 0.0000 3.9680
3.9680 3.9680 0.0000
Be P Cl
1 4 1
direct
0.0000 0.0000 0.0000
0.4012 0.4012 0.4012
0.4012 0.4012 0.7964
0.4012 0.7964 0.4012
0.7964 0.4012 0.4012
0.7500 0.7500 0.7500
```

Summary:
- Fermi-level density of states (states/eV/f.u.) = 1.94
- E_form (uncorrected) (kJ per mole of atoms) = 56.11
- total DFT energy (no corrections) (eV/atom) = -3.95